Ac6Ru3Br: relaxed, PBE-GGA.

Lattice parameters (Å, degrees): 12.6070 4.3757 13.1119 90.00 109.76 90.00
Closest atoms and distances in Å follow each position.
Space group P2_1/m (No. 11)
Symmetry-distinct sites (fractional):
Ac 0.0422 0.2500 0.3890 (multiplicity 2)  4 Ru 2.97-3.27
Ac 0.0904 0.2500 0.9346 (multiplicity 2)  3 Ru 2.94-3.04
Ac 0.2227 0.7500 0.2526 (multiplicity 2)  3 Ru 2.83-3.16
Ac 0.2609 0.2500 0.6925 (multiplicity 2)  3 Ru 3.00-3.19
Ac 0.4003 0.7500 0.5380 (multiplicity 2)  3 Ru 2.87-2.97
Ac 0.4358 0.2500 0.1548 (multiplicity 2)  2 Ru 2.91
Ru 0.0831 0.2500 0.1560 (multiplicity 2)  5 Ac 2.83-3.04
Ru 0.1698 0.7500 0.5304 (multiplicity 2)  6 Ac 2.87-3.19
Ru 0.4869 0.7500 0.3108 (multiplicity 2)  6 Ac 2.91-3.19
Br 0.3438 0.7500 0.9296 (multiplicity 2)  5 Ac 3.32-3.65

Summary:
Total energy ... -5.800 eV/atom
Fermi-level density of states ... 0.63 states/eV/atom
Density ... 8.51 g/cm³
ΔE_f (raw) ... -37.12 kJ per mole of atoms
Total moment ... 0.00 μB per formula unit
Crystal system ... monoclinic
V ... 34.04 Å³ per atom